[1]
# AsIrPtO (GGA-PBE, optimized geometry)
# - total DFT energy (no corrections) (eV per atom) = -5.98
# - E above lowest polymorph (meV/atom) = 314.7
data_AsIrPtO
_cell_length_a 4.170
_cell_length_b 4.170
_cell_length_c 6.461
_cell_angle_alpha 90.00
_cell_angle_beta 90.00
_cell_angle_gamma 90.00
_symmetry_space_group_name_H-M 'P 4/n m m'
_symmetry_Int_Tables_number 129
loop_
_symmetry_equiv_pos_as_xyz
'x,y,z'
'-x,-y,-z'
'-y+1/2,x,z'
'y+1/2,-x,-z'
'-x+1/2,-y+1/2,z'
'x+1/2,y+1/2,-z'
'y,-x+1/2,z'
'-y,x+1/2,-z'
'x+1/2,-y,-z'
'-x+1/2,y,z'
'-y,-x,-z'
'y,x,z'
'-x,y+1/2,-z'
'x,-y+1/2,z'
'y+1/2,x+1/2,-z'
'-y+1/2,-x+1/2,z'
loop_
_atom_site_label
_atom_site_type_symbol
_atom_site_fract_x
_atom_site_fract_y
_atom_site_fract_z
As1 As 0.250 0.250 0.225
Ir1 Ir 0.250 0.250 0.608
Pt1 Pt 0.250 0.750 0.000
O1 O 0.250 0.750 0.500

---

[2]
# RbAsIrO (GGA-PBE, optimized geometry)
# - total DFT energy (no corrections) (eV per atom) = -5.11
# - E above lowest polymorph (meV/atom) = 248.1
data_RbAsIrO
_cell_length_a 3.984
_cell_length_b 3.984
_cell_length_c 11.723
_cell_angle_alpha 90.00
_cell_angle_beta 90.00
_cell_angle_gamma 90.00
_symmetry_space_group_name_H-M 'P 4/n m m'
_symmetry_Int_Tables_number 129
loop_
_symmetry_equiv_pos_as_xyz
'x,y,z'
'-x,-y,-z'
'-y+1/2,x,z'
'y+1/2,-x,-z'
'-x+1/2,-y+1/2,z'
'x+1/2,y+1/2,-z'
'y,-x+1/2,z'
'-y,x+1/2,-z'
'x+1/2,-y,-z'
'-x+1/2,y,z'
'-y,-x,-z'
'y,x,z'
'-x,y+1/2,-z'
'x,-y+1/2,z'
'y+1/2,x+1/2,-z'
'-y+1/2,-x+1/2,z'
loop_
_atom_site_label
_atom_site_type_symbol
_atom_site_fract_x
_atom_site_fract_y
_atom_site_fract_z
Rb1 Rb 0.250 0.250 0.154
As1 As 0.250 0.250 0.622
Ir1 Ir 0.250 0.750 0.500
O1 O 0.250 0.750 0.000

---

[3]
# RbAsIrO (GGA-PBE, optimized geometry)
# - total DFT energy (no corrections) (eV per atom) = -5.25
# - E above lowest polymorph (meV/atom) = 103.8
data_RbAsIrO
_cell_length_a 3.785
_cell_length_b 6.141
_cell_length_c 7.880
_cell_angle_alpha 90.00
_cell_angle_beta 90.00
_cell_angle_gamma 90.00
_symmetry_space_group_name_H-M 'P m c 21'
_symmetry_Int_Tables_number 26
loop_
_symmetry_equiv_pos_as_xyz
'x,y,z'
'-x,-y,z+1/2'
'-x,y,z'
'x,-y,z+1/2'
loop_
_atom_site_label
_atom_site_type_symbol
_atom_site_fract_x
_atom_site_fract_y
_atom_site_fract_z
Rb1 Rb 0.000 0.149 0.000
As1 As 0.500 0.356 0.667
Ir1 Ir 0.500 0.352 0.361
O1 O 0.000 0.276 0.341

---

[4]
# RbAsIrO (GGA-PBE, optimized geometry)
# - total DFT energy (no corrections) (eV per atom) = -5.35
# - E above lowest polymorph (meV/atom) = 0.0
data_RbAsIrO
_cell_length_a 3.779
_cell_length_b 8.331
_cell_length_c 5.636
_cell_angle_alpha 90.00
_cell_angle_beta 90.00
_cell_angle_gamma 90.00
_symmetry_space_group_name_H-M 'P m c 21'
_symmetry_Int_Tables_number 26
loop_
_symmetry_equiv_pos_as_xyz
'x,y,z'
'-x,-y,z+1/2'
'-x,y,z'
'x,-y,z+1/2'
loop_
_atom_site_label
_atom_site_type_symbol
_atom_site_fract_x
_atom_site_fract_y
_atom_site_fract_z
Rb1 Rb 0.000 0.126 0.000
As1 As 0.000 0.359 0.490
Ir1 Ir 0.500 0.493 0.709
O1 O 0.500 0.327 0.970

---

[5]
# RbAsIrO (GGA-PBE, optimized geometry)
# - total DFT energy (no corrections) (eV per atom) = -4.32
# - E above lowest polymorph (meV/atom) = 1030.2
data_RbAsIrO
_cell_length_a 4.287
_cell_length_b 4.287
_cell_length_c 8.257
_cell_angle_alpha 90.00
_cell_angle_beta 90.00
_cell_angle_gamma 90.00
_symmetry_space_group_name_H-M 'P 4/n m m'
_symmetry_Int_Tables_number 129
loop_
_symmetry_equiv_pos_as_xyz
'x,y,z'
'-x,-y,-z'
'-y+1/2,x,z'
'y+1/2,-x,-z'
'-x+1/2,-y+1/2,z'
'x+1/2,y+1/2,-z'
'y,-x+1/2,z'
'-y,x+1/2,-z'
'x+1/2,-y,-z'
'-x+1/2,y,z'
'-y,-x,-z'
'y,x,z'
'-x,y+1/2,-z'
'x,-y+1/2,z'
'y+1/2,x+1/2,-z'
'-y+1/2,-x+1/2,z'
loop_
_atom_site_label
_atom_site_type_symbol
_atom_site_fract_x
_atom_site_fract_y
_atom_site_fract_z
Rb1 Rb 0.250 0.750 0.000
As1 As 0.250 0.250 0.305
Ir1 Ir 0.250 0.250 0.593
O1 O 0.250 0.750 0.500

---

[6]
# ReAsIrO (GGA-PBE, optimized geometry)
# - total DFT energy (no corrections) (eV per atom) = -7.43
# - E above lowest polymorph (meV/atom) = 522.8
data_ReAsIrO
_cell_length_a 4.014
_cell_length_b 4.014
_cell_length_c 6.497
_cell_angle_alpha 90.00
_cell_angle_beta 90.00
_cell_angle_gamma 90.00
_symmetry_space_group_name_H-M 'P 4/n m m'
_symmetry_Int_Tables_number 129
loop_
_symmetry_equiv_pos_as_xyz
'x,y,z'
'-x,-y,-z'
'-y+1/2,x,z'
'y+1/2,-x,-z'
'-x+1/2,-y+1/2,z'
'x+1/2,y+1/2,-z'
'y,-x+1/2,z'
'-y,x+1/2,-z'
'x+1/2,-y,-z'
'-x+1/2,y,z'
'-y,-x,-z'
'y,x,z'
'-x,y+1/2,-z'
'x,-y+1/2,z'
'y+1/2,x+1/2,-z'
'-y+1/2,-x+1/2,z'
loop_
_atom_site_label
_atom_site_type_symbol
_atom_site_fract_x
_atom_site_fract_y
_atom_site_fract_z
Re1 Re 0.250 0.750 0.000
As1 As 0.250 0.250 0.237
Ir1 Ir 0.250 0.250 0.695
O1 O 0.250 0.750 0.500

---

[7]
# ReAsIrO (GGA-PBE, optimized geometry)
# - total DFT energy (no corrections) (eV per atom) = -7.64
# - E above lowest polymorph (meV/atom) = 309.3
data_ReAsIrO
_cell_length_a 3.885
_cell_length_b 3.885
_cell_length_c 6.784
_cell_angle_alpha 90.00
_cell_angle_beta 90.00
_cell_angle_gamma 90.00
_symmetry_space_group_name_H-M 'P 4/n m m'
_symmetry_Int_Tables_number 129
loop_
_symmetry_equiv_pos_as_xyz
'x,y,z'
'-x,-y,-z'
'-y+1/2,x,z'
'y+1/2,-x,-z'
'-x+1/2,-y+1/2,z'
'x+1/2,y+1/2,-z'
'y,-x+1/2,z'
'-y,x+1/2,-z'
'x+1/2,-y,-z'
'-x+1/2,y,z'
'-y,-x,-z'
'y,x,z'
'-x,y+1/2,-z'
'x,-y+1/2,z'
'y+1/2,x+1/2,-z'
'-y+1/2,-x+1/2,z'
loop_
_atom_site_label
_atom_site_type_symbol
_atom_site_fract_x
_atom_site_fract_y
_atom_site_fract_z
Re1 Re 0.250 0.250 0.182
As1 As 0.250 0.250 0.740
Ir1 Ir 0.250 0.750 0.500
O1 O 0.250 0.750 0.000

---

[8]
# ReAsIrO (GGA-PBE, optimized geometry)
# - total DFT energy (no corrections) (eV per atom) = -7.95
# - E above lowest polymorph (meV/atom) = 0.0
data_ReAsIrO
_cell_length_a 3.548
_cell_length_b 6.173
_cell_length_c 5.199
_cell_angle_alpha 90.00
_cell_angle_beta 90.00
_cell_angle_gamma 90.00
_symmetry_space_group_name_H-M 'P m c 21'
_symmetry_Int_Tables_number 26
loop_
_symmetry_equiv_pos_as_xyz
'x,y,z'
'-x,-y,z+1/2'
'-x,y,z'
'x,-y,z+1/2'
loop_
_atom_site_label
_atom_site_type_symbol
_atom_site_fract_x
_atom_site_fract_y
_atom_site_fract_z
Re1 Re 0.000 0.200 0.000
As1 As 0.000 0.254 0.485
Ir1 Ir 0.500 0.460 0.678
O1 O 0.500 0.085 0.026